VASP calculation (GGA+U) on an optimized crystal structure of KNi3P3O11.

## Properties
DFT total energy: -6.35 eV per atom
Size of the total moment: 5.982 μB per formula unit

Cell lengths 9.987, 9.489, 10.207 Å; angles 90.00, 119.95, 90.00 degrees
Space group P2_1/c (No. 14)
Unique sites:
K (0.083, 0.235, 0.080) [4 per cell]
Ni (0.237, 0.628, 0.875) [4 per cell]
Ni (0.405, 0.133, 0.897) [4 per cell]
Ni (0.415, 0.631, 0.236) [4 per cell]
P (0.100, 0.559, 0.250) [4 per cell]
P (0.272, 0.576, 0.578) [4 per cell]
P (0.397, 0.163, 0.569) [4 per cell]
O (0.040, 0.526, 0.857) [4 per cell]
O (0.087, 0.718, 0.234) [4 per cell]
O (0.129, 0.521, 0.421) [4 per cell]
O (0.241, 0.523, 0.700) [4 per cell]
O (0.250, 0.508, 0.252) [4 per cell]
O (0.267, 0.229, 0.424) [4 per cell]
O (0.272, 0.738, 0.563) [4 per cell]
O (0.389, 0.000, 0.565) [4 per cell]
O (0.402, 0.225, 0.714) [4 per cell]
O (0.419, 0.505, 0.585) [4 per cell]
O (0.448, 0.729, 0.916) [4 per cell]